Entry 1:
Pm3BiO | GGA-PBE | optimized geometry

## Properties
space-group type: Pm-3m

Cell and atoms, written as CIF:
```
data_Pm3BiO
_cell_length_a 4.966
_cell_length_b 4.966
_cell_length_c 4.966
_cell_angle_alpha 90.00
_cell_angle_beta 90.00
_cell_angle_gamma 90.00
_symmetry_space_group_name_H-M 'P 1'
_symmetry_Int_Tables_number 1
_symmetry_space_group_name_Hall 'P 1'
loop_
_atom_site_label
_atom_site_type_symbol
_atom_site_fract_x
_atom_site_fract_y
_atom_site_fract_z
Pm1 Pm 0.000 0.000 0.500
Pm2 Pm 0.000 0.500 0.000
Pm3 Pm 0.500 0.000 0.000
Bi1 Bi 0.500 0.500 0.500
O1 O 0.000 0.000 0.000
```

Entry 2:
PmBi3O6 | GGA-PBE | optimized geometry

## Properties
space-group type: R3

Cell and atoms, written as CIF:
```
data_PmBi3O6
_cell_length_a 6.183
_cell_length_b 6.183
_cell_length_c 6.183
_cell_angle_alpha 60.51
_cell_angle_beta 60.51
_cell_angle_gamma 60.51
_symmetry_space_group_name_H-M 'P 1'
_symmetry_Int_Tables_number 1
_symmetry_space_group_name_Hall 'P 1'
loop_
_atom_site_label
_atom_site_type_symbol
_atom_site_fract_x
_atom_site_fract_y
_atom_site_fract_z
Pm1 Pm 0.000 0.000 0.000
Bi1 Bi 0.219 0.219 0.219
Bi2 Bi 0.506 0.506 0.506
Bi3 Bi 0.723 0.723 0.723
O1 O 0.113 0.852 0.389
O2 O 0.332 0.642 0.867
O3 O 0.389 0.113 0.852
O4 O 0.642 0.867 0.332
O5 O 0.852 0.389 0.113
O6 O 0.867 0.332 0.642
```

Entry 3:
Pm4Bi3O2 | GGA-PBE | optimized geometry

## Properties
space-group type: C2/m

Cell and atoms, written as CIF:
```
data_Pm4Bi3O2
_cell_length_a 7.495
_cell_length_b 7.495
_cell_length_c 9.560
_cell_angle_alpha 121.09
_cell_angle_beta 121.09
_cell_angle_gamma 32.42
_symmetry_space_group_name_H-M 'P 1'
_symmetry_Int_Tables_number 1
_symmetry_space_group_name_Hall 'P 1'
loop_
_atom_site_label
_atom_site_type_symbol
_atom_site_fract_x
_atom_site_fract_y
_atom_site_fract_z
Pm1 Pm 0.124 0.124 0.410
Pm2 Pm 0.310 0.310 0.869
Pm3 Pm 0.690 0.690 0.131
Pm4 Pm 0.876 0.876 0.590
Bi1 Bi 0.000 0.000 0.000
Bi2 Bi 0.395 0.395 0.297
Bi3 Bi 0.605 0.605 0.703
O1 O 0.308 0.308 0.627
O2 O 0.692 0.692 0.373
```

Entry 4:
Pm3Bi3O | GGA-PBE | optimized geometry

## Properties
space-group type: C2/m

Cell and atoms, written as CIF:
```
data_Pm3Bi3O
_cell_length_a 7.055
_cell_length_b 7.055
_cell_length_c 8.649
_cell_angle_alpha 98.27
_cell_angle_beta 98.27
_cell_angle_gamma 106.54
_symmetry_space_group_name_H-M 'P 1'
_symmetry_Int_Tables_number 1
_symmetry_space_group_name_Hall 'P 1'
loop_
_atom_site_label
_atom_site_type_symbol
_atom_site_fract_x
_atom_site_fract_y
_atom_site_fract_z
Pm1 Pm 0.105 0.439 0.770
Pm2 Pm 0.138 0.138 0.374
Pm3 Pm 0.439 0.105 0.770
Pm4 Pm 0.561 0.895 0.230
Pm5 Pm 0.862 0.862 0.626
Pm6 Pm 0.895 0.561 0.230
Bi1 Bi 0.142 0.858 0.000
Bi2 Bi 0.313 0.687 0.500
Bi3 Bi 0.377 0.377 0.103
Bi4 Bi 0.623 0.623 0.897
Bi5 Bi 0.687 0.313 0.500
Bi6 Bi 0.858 0.142 0.000
O1 O 0.142 0.142 0.644
O2 O 0.858 0.858 0.356
```

no.,ΔE_f (raw) (eV/atom),D(E_F) (states/eV/f.u.)
1,-1.386,5.498
2,-1.738,0.000
3,-1.759,3.778
4,-1.330,2.222